1.
Ca5GeAu2 PBE-GGA optimized geometry; symmetry = I4/mcm (140); E_form = -62.1 kJ/mol of atoms
1.0
-3.9267 3.9267 7.3174
3.9267 -3.9267 7.3174
3.9267 3.9267 -7.3174
Ca Ge Au
10 2 4
Cartesian
0.0000 0.0000 0.0000 Ca
5.2850 1.3583 -2.1296 Ca
1.3583 2.5683 -2.1296 Ca
5.2850 1.3583 2.1296 Ca
1.3583 2.5683 2.1296 Ca
0.0000 0.0000 7.3174 Ca
2.5683 1.3583 5.1878 Ca
-1.3583 2.5683 5.1878 Ca
2.5683 1.3583 9.4470 Ca
-1.3583 2.5683 9.4470 Ca
0.0000 0.0000 3.6587 Ge
0.0000 0.0000 10.9761 Ge
2.9254 1.0013 0.0000 Au
2.9254 -1.0013 7.3174 Au
1.0013 4.9280 0.0000 Au
1.0013 2.9254 7.3174 Au

2.
IrPtIN2 PBE-GGA optimized geometry; symmetry = P4/mmm (123); energy above the most stable polymorph in this dataset = 0.595 eV per atom; formation energy from raw total energies = 7.79 eV/f.u.
1.0
3.7499 0.0000 0.0000
0.0000 3.7499 0.0000
0.0000 0.0000 8.9465
Ir Pt I N
1 1 1 2
Cartesian
0.0000 0.0000 0.0000 Ir
1.8750 1.8750 4.4733 Pt
1.8750 1.8750 0.0000 I
0.0000 1.8750 4.4733 N
1.8750 0.0000 4.4733 N

M_tot (μB/f.u.)
0.000; 0.000